Density functional theory data (PBE) for crystalline Tl2ReOs at its relaxed geometry.

Computed properties:
V in Å³ per cell: 74
Formation enthalpy at 0 K in meV/atom: 1313
Energy above the most stable polymorph in this dataset in eV/atom: 0.800
Symmetry: I-4m2

Cell: 5.140 5.140 5.140 Å, 131.75 131.75 70.63°
Element x y z (fractional)
Tl: 0.000 0.000 0.000
Tl: 0.250 0.750 0.500
Re: 0.750 0.250 0.500
Os: 0.500 0.500 0.000

Density functional theory data (PBE) for crystalline Mg4AgPd2Pt at its relaxed geometry.

Computed properties:
V in Å³ per cell: 133
Formation enthalpy at 0 K in meV/atom: -649
Symmetry: R-3m

Cell: 4.551 4.551 7.863 Å, 73.18 73.18 60.00°
Element x y z (fractional)
Pd: 0.748 0.748 0.755
Pd: 0.252 0.252 0.245
Mg: 0.378 0.378 0.865
Mg: 0.872 0.872 0.385
Mg: 0.622 0.622 0.135
Mg: 0.128 0.128 0.615
Pt: 0.500 0.500 0.500
Ag: 0.000 0.000 0.000

Density functional theory data (PBE) for crystalline BaIn3Ge2 at its relaxed geometry.

Computed properties:
V in Å³ per cell: 339
Formation enthalpy at 0 K in meV/atom: -201
Symmetry: C2/m

Cell: 4.459 9.261 9.962 Å, 58.76 77.07 76.07°
Element x y z (fractional)
Ge: 0.214 0.254 0.318
Ge: 0.786 0.746 0.682
Ge: 0.512 0.785 0.190
Ge: 0.488 0.215 0.810
In: 0.045 0.577 0.332
In: 0.955 0.423 0.668
In: 0.313 0.489 0.885
In: 0.659 0.154 0.528
In: 0.341 0.846 0.472
In: 0.687 0.511 0.115
Ba: 0.880 0.101 0.140
Ba: 0.120 0.899 0.860

Density functional theory data (PBE) for crystalline Ac8Tl3Ir3Pt at its relaxed geometry.

Computed properties:
V in Å³ per cell: 555
Formation enthalpy at 0 K in meV/atom: -567
Symmetry: C2/m

Cell: 8.722 8.705 9.819 Å, 116.21 90.00 120.06°
Element x y z (fractional)
Ac: 0.766 0.038 0.305
Ac: 0.234 0.962 0.695
Ac: 0.767 0.533 0.305
Ac: 0.233 0.467 0.695
Ac: 0.272 0.038 0.305
Ac: 0.269 0.538 0.307
Ac: 0.728 0.962 0.695
Ac: 0.731 0.462 0.693
Pt: 0.000 0.000 0.500
Ir: 0.500 0.500 0.500
Ir: 0.000 0.500 0.500
Ir: 0.500 0.000 0.500
Tl: 0.000 0.000 0.000
Tl: 0.000 0.500 0.000
Tl: 0.500 0.500 0.000

Density functional theory data (PBE) for crystalline BaCaPb2 at its relaxed geometry.

Computed properties:
V in Å³ per cell: 136
Formation enthalpy at 0 K in meV/atom: -499
Symmetry: P4/mmm

Cell: 3.749 3.749 9.693 Å, 90.00 90.00 89.99°
Element x y z (fractional)
Ca: 0.500 0.500 0.750
Ba: 0.500 0.500 0.250
Pb: 0.000 0.000 0.518
Pb: 0.000 0.000 0.982

Density functional theory data (PBE) for crystalline TaCd3Ag at its relaxed geometry.

Computed properties:
V in Å³ per cell: 161
Formation enthalpy at 0 K in meV/atom: 1229
Energy above the most stable polymorph in this dataset in eV/atom: 0.029
Symmetry: Pm-3m

Cell: 5.435 5.435 5.435 Å, 90.00 90.00 90.00°
Element x y z (fractional)
Cd: 0.500 0.000 0.000
Cd: 0.000 0.000 0.500
Cd: 0.000 0.500 0.000
Ta: 0.000 0.000 0.000
Ag: 0.500 0.500 0.500

What is the formation enthalpy at 0 K in the fifth record?
-499 meV/atom

Among the records above, which one has the highest V?
Ac8Tl3Ir3Pt

Number 1 is which compound?
Tl2ReOs

The highest formation enthalpy at 0 K belongs to which entry?
Tl2ReOs